VASP calculation (PBE) on a geometry-optimized K2BaNaY structure.

The structure in extended XYZ format:
```
5
Lattice="7.161 0.000 0.000 0.000 6.290 0.000 0.000 0.000 7.161" Properties=species:S:1:pos:R:3 pbc="T T T"
Y 0.000 3.145 0.000
Ba 0.000 0.000 0.000
K 3.580 0.000 0.000
K 0.000 0.000 3.580
Na 3.580 3.145 3.580
```

Results
E_tot: -7.67 eV/cell
total moment: 0.00 μB per formula unit
ΔH_f (0 K): 0.846 eV/atom